[1]
A geometry-optimized PmNdAuBr structure, computed with GGA-PBE.

As for the density of states at the Fermi level: 5.7 states/eV/f.u. As for the magnetization: 0.0 μB/f.u. As for the raw formation energy: -3.05 eV/f.u.

Cell lengths 5.2808, 5.2808, 5.2808 Å; angles 60.00, 60.00, 60.00 degrees
Element x y z (fractional)
Pm1 0.0000 0.0000 0.0000
Nd1 0.5000 0.5000 0.5000
Au1 0.2500 0.2500 0.2500
Br1 0.7500 0.7500 0.7500

[2]
A geometry-optimized PrNdAuBr structure, computed with GGA-PBE.

As for the density of states at the Fermi level: 5.2 states/eV/f.u. As for the magnetization: 0.0 μB/f.u. As for the raw formation energy: -3.10 eV/f.u.

Cell lengths 5.3120, 5.3120, 5.3120 Å; angles 60.00, 60.00, 60.00 degrees
Element x y z (fractional)
Pr1 0.0000 0.0000 0.0000
Nd1 0.5000 0.5000 0.5000
Au1 0.7500 0.7500 0.7500
Br1 0.2500 0.2500 0.2500

[3]
A geometry-optimized Nd6Pt2AuBr3 structure, computed with GGA-PBE.

As for the density of states at the Fermi level: 9.9 states/eV/f.u. As for the magnetization: 0.0 μB/f.u. As for the raw formation energy: -13.82 eV/f.u.

Cell lengths 7.3597, 7.3597, 8.0890 Å; angles 98.73, 98.73, 119.99 degrees
Element x y z (fractional)
Nd1 0.0868 0.4318 0.7953
Nd2 0.2231 0.2231 0.2043
Nd3 0.4318 0.0868 0.7953
Nd4 0.5682 0.9132 0.2047
Nd5 0.7769 0.7769 0.7957
Nd6 0.9132 0.5682 0.2047
Pt1 0.1667 0.8333 0.0000
Pt2 0.8333 0.1667 0.0000
Au1 0.5000 0.5000 0.0000
Br1 0.0000 0.0000 0.5000
Br2 0.3341 0.6659 0.5000
Br3 0.6659 0.3341 0.5000

Question: Which formula does entry 1 have?
Answer: PmNdAuBr